Run 1
{"formula": "YAlF3", "functional": "PBE", "state": "relaxed", "lattice": [[4.504, 0.000, 0.000], [0.000, 4.504, 0.000], [0.000, 0.000, 4.504]], "species": ["Y", "Al", "F", "F", "F"], "frac_coords": [[0.000, 0.000, 0.000], [0.500, 0.500, 0.500], [0.000, 0.000, 0.500], [0.000, 0.500, 0.000], [0.500, 0.000, 0.000]]}

=====

Run 2
{"formula": "YAlF3", "functional": "PBE", "state": "relaxed", "lattice": [[4.258, 0.000, 0.000], [0.000, 4.258, 0.000], [0.000, 0.000, 4.258]], "species": ["Y", "Al", "F", "F", "F"], "frac_coords": [[0.000, 0.000, 0.000], [0.500, 0.500, 0.500], [0.000, 0.500, 0.500], [0.500, 0.000, 0.500], [0.500, 0.500, 0.000]]}

=====

Tell me which of them is the most stable. Sure, it is run 1.

=====

Run 1
{"formula": "Y2AlF", "functional": "PBE", "state": "relaxed", "lattice": [[1.649, 0.952, 9.757], [-1.649, 0.952, 9.757], [0.000, -1.904, 9.757]], "species": ["Y", "Y", "Al", "F"], "frac_coords": [[0.103, 0.103, 0.103], [0.897, 0.897, 0.897], [0.000, 0.000, 0.000], [0.500, 0.500, 0.500]]}

=====

Run 2
{"formula": "Y2AlF", "functional": "PBE", "state": "relaxed", "lattice": [[-3.551, 3.551, 3.629], [3.551, -3.551, 3.629], [3.551, 3.551, -3.629]], "species": ["Y", "Y", "Y", "Y", "Al", "Al", "F", "F"], "frac_coords": [[0.048, 0.625, 0.923], [0.375, 0.298, 0.423], [0.702, 0.125, 0.077], [0.875, 0.952, 0.577], [0.250, 0.750, 0.500], [0.500, 0.500, 0.000], [0.000, 0.000, 0.000], [0.750, 0.250, 0.500]]}

=====

Tell me which of them is the most stable. Sure, it is run 2.